The following is a PBE with a Hubbard U calculation of a geometry-optimized V4O7F5 structure, from Alexandria via LeMat-Bulk.

Values from the calculation:
Polymorph energy (0 for the lowest one) ... 0.000 eV per atom

Structure (CIF):
```
data_V4O7F5
_space_group_name_H-M_alt 'P 1'
_space_group_IT_number 1
_cell_length_a 5.293
_cell_length_b 5.302
_cell_length_c 9.188
_cell_angle_alpha 75.47
_cell_angle_beta 74.20
_cell_angle_gamma 60.77
loop_
_space_group_symop_operation_xyz
'x,y,z'
loop_
_atom_site_label
_atom_site_type_symbol
_atom_site_fract_x
_atom_site_fract_y
_atom_site_fract_z
V1 V 0.000 0.000 0.000
V2 V 0.216 0.240 0.246
V3 V 0.440 0.439 0.519
V4 V 0.716 0.688 0.761
O1 O 0.064 0.087 0.164
O2 O 0.122 0.508 0.642
O3 O 0.152 0.552 0.135
O4 O 0.341 0.901 0.895
O5 O 0.416 0.286 0.384
O6 O 0.572 0.599 0.653
O7 O 0.800 0.340 0.915
F1 F 0.337 0.808 0.408
F2 F 0.604 0.011 0.147
F3 F 0.676 0.070 0.632
F4 F 0.883 0.366 0.401
F5 F 0.898 0.802 0.889
```